# 1
Compound: Ba2ReAg
Source: Alexandria via LeMat-Bulk
Functional: PBE
Structure: relaxed

Cell lengths 3.741, 3.741, 9.262 Å; angles 90.00, 90.00, 90.00 degrees
Positions (direct):
Ba 0.000 0.000 0.000
Ba 0.500 0.500 0.430
Re 0.000 0.000 0.676
Ag 0.500 0.500 0.769

Output
The offset from the most stable computed form is 95 meV/atom. As for the space group: P4mm (99). The value obtained for the formation energy is 0.81 eV/atom.

***

# 2
Compound: Ba3ReAg
Source: Alexandria via LeMat-Bulk
Functional: PBE
Structure: relaxed

Cell lengths 5.954, 5.954, 5.954 Å; angles 90.00, 90.00, 90.00 degrees
Positions (direct):
Ba 0.000 0.000 0.500
Ba 0.000 0.500 0.000
Ba 0.500 0.000 0.000
Re 0.000 0.000 0.000
Ag 0.500 0.500 0.500

Output
The offset from the most stable computed form is 0 meV/atom. As for the space group: Pm-3m (221). The value obtained for the formation energy is 0.64 eV/atom.

***

# 3
Compound: Ba2ReAg
Source: Alexandria via LeMat-Bulk
Functional: PBE
Structure: relaxed

Cell lengths 4.770, 4.770, 10.615 Å; angles 90.00, 90.00, 90.00 degrees
Positions (direct):
Ba 0.000 0.000 0.000
Ba 0.000 0.500 0.250
Ba 0.500 0.000 0.750
Ba 0.500 0.500 0.500
Re 0.000 0.500 0.750
Re 0.500 0.000 0.250
Ag 0.000 0.000 0.500
Ag 0.500 0.500 0.000

Output
The offset from the most stable computed form is 255 meV/atom. As for the space group: I-4m2 (119). The value obtained for the formation energy is 0.97 eV/atom.

***

# 4
Compound: BaRe4Ag
Source: Alexandria via LeMat-Bulk
Functional: PBE
Structure: relaxed

Cell lengths 5.470, 5.470, 5.470 Å; angles 60.00, 60.00, 60.00 degrees
Positions (direct):
Ba 0.000 0.000 0.000
Re 0.128 0.624 0.624
Re 0.624 0.128 0.624
Re 0.624 0.624 0.128
Re 0.624 0.624 0.624
Ag 0.250 0.250 0.250

Output
As for the space group: F-43m (216). The value obtained for the formation energy is 0.96 eV/atom.

***

# 5
Compound: Ba2ReAgRh
Source: Alexandria via LeMat-Bulk
Functional: PBE
Structure: relaxed

Cell lengths 6.153, 6.153, 4.700 Å; angles 90.00, 90.00, 90.00 degrees
Positions (direct):
Ba 0.000 0.500 0.000
Ba 0.500 0.000 0.000
Re 0.000 0.000 0.500
Ag 0.500 0.500 0.500
Rh 0.000 0.000 0.000

Output
As for the space group: P4/mmm (123). The value obtained for the formation energy is 0.62 eV/atom.

***

# 6
Compound: BaRe2AgSb
Source: Alexandria via LeMat-Bulk
Functional: PBE
Structure: relaxed

Cell lengths 5.196, 5.196, 5.282 Å; angles 90.00, 90.00, 90.00 degrees
Positions (direct):
Ba 0.000 0.000 0.000
Re 0.000 0.500 0.500
Re 0.500 0.000 0.500
Ag 0.500 0.500 0.500
Sb 0.500 0.500 0.000

Output
As for the space group: P4/mmm (123). Its uncorrected formation energy is 1.809 eV/atom.

***

# 7
Compound: BaRe2TcAg
Source: Alexandria via LeMat-Bulk
Functional: PBE
Structure: relaxed

Cell lengths 5.051, 5.051, 5.087 Å; angles 90.00, 90.00, 90.00 degrees
Positions (direct):
Ba 0.000 0.000 0.000
Re 0.000 0.500 0.500
Re 0.500 0.000 0.500
Tc 0.500 0.500 0.000
Ag 0.500 0.500 0.500

Output
As for the space group: P4/mmm (123). The value obtained for the formation energy is 2.41 eV/atom.

***

# 8
Compound: BaReTcAg2
Source: Alexandria via LeMat-Bulk
Functional: PBE
Structure: relaxed

Cell lengths 5.200, 5.200, 5.433 Å; angles 90.00, 90.00, 90.00 degrees
Positions (direct):
Ba 0.000 0.000 0.000
Re 0.000 0.000 0.500
Tc 0.500 0.500 0.000
Ag 0.000 0.500 0.500
Ag 0.500 0.000 0.500

Output
As for the space group: P4/mmm (123). The value obtained for the formation energy is 1.96 eV/atom.